(one)
The following is a DFT calculation (PBE) of an optimized crystal structure of Co15As.

CIF file:
```
data_Co15As
_chemical_formula_sum 'Co30 As2'
_symmetry_space_group_name_H-M 'P 1 21/m 1'
_symmetry_Int_Tables_number 11
_symmetry_space_group_name_Hall '-P 2yb'
_cell_length_a 6.972
_cell_length_b 2.505
_cell_length_c 33.304
_cell_angle_alpha 90.00
_cell_angle_beta 90.00
_cell_angle_gamma 90.00
loop_
_atom_site_label
_atom_site_type_symbol
_atom_site_fract_x
_atom_site_fract_y
_atom_site_fract_z
Co1 Co 0.120 0.250 0.259
Co2 Co 0.125 0.250 0.408
Co3 Co 0.125 0.250 0.481
Co4 Co 0.125 0.250 0.556
Co5 Co 0.125 0.250 0.629
Co6 Co 0.125 0.250 0.704
Co7 Co 0.125 0.250 0.775
Co8 Co 0.126 0.250 0.333
Co9 Co 0.370 0.750 0.741
Co10 Co 0.375 0.750 0.297
Co11 Co 0.375 0.750 0.370
Co12 Co 0.375 0.750 0.445
Co13 Co 0.375 0.750 0.519
Co14 Co 0.375 0.750 0.593
Co15 Co 0.376 0.750 0.667
As1 As 0.375 0.750 0.221
```

The calculation puts the size of the total moment at 23.9 μB per formula unit.


(two)
The following is a DFT calculation (PBE) of an optimized crystal structure of Co15As.

CIF file:
```
data_Co15As
_chemical_formula_sum 'Co30 As2'
_symmetry_space_group_name_H-M 'P 1 2/c 1'
_symmetry_Int_Tables_number 13
_symmetry_space_group_name_Hall '-P 2yc'
_cell_length_a 4.289
_cell_length_b 33.381
_cell_length_c 4.289
_cell_angle_alpha 90.00
_cell_angle_beta 109.88
_cell_angle_gamma 90.00
loop_
_atom_site_label
_atom_site_type_symbol
_atom_site_fract_x
_atom_site_fract_y
_atom_site_fract_z
Co1 Co 0.000 0.018 0.250
Co2 Co 0.000 0.056 0.750
Co3 Co 0.000 0.093 0.250
Co4 Co 0.000 0.130 0.750
Co5 Co 0.000 0.167 0.250
Co6 Co 0.000 0.203 0.750
Co7 Co 0.000 0.241 0.250
Co8 Co 0.500 0.019 0.750
Co9 Co 0.500 0.055 0.250
Co10 Co 0.500 0.093 0.750
Co11 Co 0.500 0.129 0.250
Co12 Co 0.500 0.167 0.750
Co13 Co 0.500 0.203 0.250
Co14 Co 0.500 0.241 0.750
Co15 Co 0.500 0.275 0.250
As1 As 0.000 0.279 0.750
```

The calculation puts the size of the total moment at 23.8 μB per formula unit.


Relative energy of each structure, in meV per atom: (one) 46; (two) 0.